A plane-wave DFT calculation with PBE was carried out for a relaxed structure of NdThSc6.

a = 4.724 Å, b = 4.724 Å, c = 9.539 Å
α = 90.00°, β = 90.00°, γ = 90.00°
Element x y z (fractional)
Nd (0.000, 0.000, 0.000)
Th (0.000, 0.000, 0.500)
Sc (0.500, 0.500, 0.000)
Sc (0.500, 0.500, 0.500)
Sc (0.500, 0.000, 0.254)
Sc (0.500, 0.000, 0.746)
Sc (0.000, 0.500, 0.254)
Sc (0.000, 0.500, 0.746)

Calculated values
Size of the total moment: 0.00 μB per cell
Symmetry: P4/mmm (123)
Calculated formation energy: 4.3 kJ/mol of atoms
Energy: -6.227 eV per atom

---

A plane-wave DFT calculation with PBE was carried out for a relaxed structure of ZnH3Ru.

a = 2.939 Å, b = 5.276 Å, c = 5.381 Å
α = 99.48°, β = 90.00°, γ = 90.00°
Element x y z (fractional)
Zn (0.250, 0.309, 0.247)
Zn (0.750, 0.691, 0.753)
H (0.750, 0.618, 0.283)
H (0.250, 0.382, 0.717)
H (0.750, 0.272, 0.973)
H (0.250, 0.993, 0.712)
H (0.250, 0.728, 0.027)
H (0.750, 0.007, 0.288)
Ru (0.250, 0.817, 0.335)
Ru (0.750, 0.183, 0.665)

Calculated values
Relative energy among the computed polymorphs: 0.0654 eV/atom
Size of the total moment: 0.00 μB per cell
Symmetry: P2_1/m (11)
Energy: -3.995 eV per atom

---

A plane-wave DFT calculation with PBE was carried out for a relaxed structure of TeCl3.

a = 10.683 Å, b = 10.683 Å, c = 10.683 Å
α = 18.18°, β = 18.18°, γ = 18.18°
Each line ends with the local moment (μB).
Element x y z (fractional)
Te (0.000, 0.000, 0.000)  0.00
Cl (0.735, 0.735, 0.735)  0.01
Cl (0.500, 0.500, 0.500)  0.65
Cl (0.265, 0.265, 0.265)  0.01

Calculated values
Relative energy among the computed polymorphs: 0.6849 eV/atom
Size of the total moment: 0.85 μB per cell
Formation energy from raw total energies: 0.27 eV per atom
Symmetry: R-3m (166)
Energy: -1.905 eV per atom

---

A plane-wave DFT calculation with PBE was carried out for a relaxed structure of LiHo3Co8.

a = 4.993 Å, b = 4.993 Å, c = 8.629 Å
α = 73.18°, β = 73.18°, γ = 60.00°
Each line ends with the local moment (μB).
Element x y z (fractional)
Li (0.872, 0.872, 0.383)  -0.04
Ho (0.376, 0.376, 0.871)  -0.40
Ho (0.993, 0.993, 0.021)  -0.38
Ho (0.505, 0.505, 0.484)  -0.38
Co (0.937, 0.437, 0.189)  1.28
Co (0.440, 0.938, 0.683)  1.35
Co (0.437, 0.437, 0.189)  1.28
Co (0.938, 0.938, 0.683)  1.35
Co (0.188, 0.188, 0.435)  1.43
Co (0.687, 0.687, 0.938)  1.27
Co (0.437, 0.937, 0.189)  1.28
Co (0.938, 0.440, 0.683)  1.35

Calculated values
Size of the total moment: 9.18 μB per cell
Symmetry: R3m (160)
Calculated formation energy: -15.0 kJ/mol of atoms
Energy: -6.197 eV per atom

---

A plane-wave DFT calculation with PBE was carried out for a relaxed structure of CsK2AgH.

a = 5.503 Å, b = 5.503 Å, c = 6.173 Å
α = 90.00°, β = 90.00°, γ = 90.00°
Element x y z (fractional)
Cs (0.000, 0.000, 0.500)
H (0.000, 0.000, 0.000)
K (0.000, 0.500, 0.000)
K (0.500, 0.000, 0.000)
Ag (0.500, 0.500, 0.500)

Calculated values
Size of the total moment: 0.00 μB per cell
Symmetry: P4/mmm (123)
Energy: -1.853 eV per atom

---

A plane-wave DFT calculation with PBE was carried out for a relaxed structure of LiZnCoAs.

a = 4.165 Å, b = 4.165 Å, c = 4.165 Å
α = 60.00°, β = 60.00°, γ = 60.00°
Element x y z (fractional)
As (0.500, 0.500, 0.500)
Co (0.750, 0.750, 0.750)
Zn (0.000, 0.000, 0.000)
Li (0.250, 0.250, 0.250)

Calculated values
Size of the total moment: 0.00 μB per cell
Symmetry: F-43m (216)
Calculated formation energy: -20.0 kJ/mol of atoms
Energy: -3.943 eV per atom